The following is a PBE with a Hubbard U calculation of a relaxed GdCoSeO crystal, from OQMD.

```
GdCoSeO
1.0
2.327 1.344 11.227
-2.327 1.344 11.227
0.000 -2.687 11.227
Gd Co Se O
2 2 2 2
Direct
0.225 0.225 0.225 Gd
0.775 0.775 0.775 Gd
0.339 0.339 0.339 Co
0.661 0.661 0.661 Co
0.129 0.129 0.129 Se
0.871 0.871 0.871 Se
0.286 0.286 0.286 O
0.714 0.714 0.714 O
```

Results
- uncorrected energy (eV/atom) = -5.638
- crystal system = trigonal
- total magnetization (Bohr magnetons per cell) = 4.668
- relative energy among the computed polymorphs (eV per formula unit) = 0.05